Entry from Alexandria via LeMat-Bulk: an optimized crystal structure of Ti2V3Mo (PBE).

abc: 5.9468 5.9468 5.4134
angles: 90.00 90.00 97.41
Last column: nearest neighbours and their distance in Å.
Fractional coordinates of all 12 atoms:
Ti  0.0703  0.5733  0.7500  5 V 2.67-2.87, 3 Ti 2.80-2.93, 1 Mo 2.96
Ti  0.4267  0.9297  0.7500  5 V 2.67-2.87, 3 Ti 2.80-2.93, 1 Mo 2.96
Ti  0.5733  0.0703  0.2500  5 V 2.67-2.87, 3 Ti 2.80-2.93, 1 Mo 2.96
Ti  0.9297  0.4267  0.2500  5 V 2.67-2.87, 3 Ti 2.80-2.93, 1 Mo 2.96
V  0.2577  0.2577  0.0000  4 V 2.49-2.71, 2 Mo 2.53, 4 Ti 2.67
V  0.2577  0.2577  0.5000  4 V 2.49-2.71, 2 Mo 2.53, 4 Ti 2.67
V  0.4033  0.5967  0.2500  4 V 2.49
V  0.5967  0.4033  0.7500  4 V 2.49
V  0.7423  0.7423  0.0000  4 V 2.49-2.71, 2 Mo 2.53, 4 Ti 2.67
V  0.7423  0.7423  0.5000  4 V 2.49-2.71, 2 Mo 2.53, 4 Ti 2.67
Mo  0.0789  0.9211  0.2500  4 V 2.53
Mo  0.9211  0.0789  0.7500  4 V 2.53

Properties
Spin magnetization ... 0.004 μB per atom
SG ... Cmcm (63)
ΔH_f (0 K) ... 0.244 eV per atom

Entry from Alexandria via LeMat-Bulk: an optimized crystal structure of Ti2VMo2 (PBE).

abc: 4.4398 4.4398 5.2284
angles: 115.07 115.07 59.86
Last column: nearest neighbours and their distance in Å.
Fractional coordinates of all 5 atoms:
Ti  0.2067  0.2067  0.1203  4 Mo 2.67-2.70, 3 Ti 2.78-2.79, 1 V 2.83
Ti  0.7933  0.7933  0.8797  4 Mo 2.67-2.70, 3 Ti 2.78-2.79, 1 V 2.83
V  0.0000  0.0000  0.5000  6 Mo 2.73-2.74, 2 Ti 2.83
Mo  0.4042  0.4042  0.7120  1 Mo 2.63, 4 Ti 2.67-2.70, 3 V 2.73-2.74
Mo  0.5958  0.5958  0.2880  1 Mo 2.63, 4 Ti 2.67-2.70, 3 V 2.73-2.74

Properties
Excess energy over the best structure of this formula in the dataset ... 0.000 eV per atom
Spin magnetization ... 0.000 μB per atom
SG ... C2/m (12)
ΔH_f (0 K) ... -0.087 eV per atom

Number 1: theoretical density 6.027 g/cm³. Number 2: theoretical density 7.231 g/cm³.